DFT (PBE with a Hubbard U) results for an optimized crystal structure of RhWN2F.

Summary:
- Fermi-level density of states (states/eV/atom) = 0.690
- density (g/cm3) = 8.12
- space-group type = P4/mmm
- relative energy among the computed polymorphs (meV per atom) = 1637.6

a b c (Å): 4.260 3.762 4.260
angles (deg): 90.00 90.00 90.00
Sites, in units of the cell vectors:
1 N 0.000 0.000 0.500
2 N 0.500 0.000 0.000
3 F 0.000 0.000 0.000
4 Rh 0.500 0.500 0.500
5 W 0.000 0.500 0.000